--- A ---
A plane-wave DFT calculation with GGA-PBE was carried out for a relaxed structure of CsMgAl2F.

Cell lengths 6.1050, 6.1050, 3.8811 Å; angles 90.00, 90.00, 90.00 degrees
Space group P4/mmm (No. 123)
Symmetry-distinct sites (fractional):
Cs (0.0000, 0.0000, 0.0000) [1 per cell]
Mg (0.5000, 0.5000, 0.5000) [1 per cell]
Al (0.0000, 0.5000, 0.5000) [2 per cell]
F (0.5000, 0.5000, 0.0000) [1 per cell]

- size of the total moment (μB per cell) = 0.510


--- B ---
A plane-wave DFT calculation with GGA-PBE was carried out for a relaxed structure of CsMgAl2F.

Cell lengths 4.9673, 4.9673, 5.5458 Å; angles 90.00, 90.00, 90.00 degrees
Space group P4/mmm (No. 123)
Symmetry-distinct sites (fractional):
Cs (0.0000, 0.0000, 0.0000) [1 per cell]
Mg (0.5000, 0.5000, 0.0000) [1 per cell]
Al (0.0000, 0.5000, 0.5000) [2 per cell]
F (0.0000, 0.0000, 0.5000) [1 per cell]

- size of the total moment (μB per cell) = 0.000


Most favorable structure: A. The second most favorable one is 0.105 eV/atom above it.


--- A ---
A plane-wave DFT calculation with GGA-PBE was carried out for a relaxed structure of Cs2SrAlF6.

Cell lengths 6.7635, 6.7635, 6.4131 Å; angles 90.00, 90.00, 120.00 degrees
Space group P-3m1 (No. 164)
Symmetry-distinct sites (fractional):
Cs (0.3333, 0.6667, 0.1164) [2 per cell]
Sr (0.0000, 0.0000, 0.5000) [1 per cell]
Al (0.0000, 0.0000, 0.0000) [1 per cell]
F (0.1253, 0.2506, 0.8264) [6 per cell]

- size of the total moment (μB per cell) = 0.000


--- B ---
A plane-wave DFT calculation with GGA-PBE was carried out for a relaxed structure of Cs2SrAlF6.

Cell lengths 6.7501, 6.7501, 8.7268 Å; angles 90.00, 90.00, 90.00 degrees
Space group I4/mmm (No. 139)
Symmetry-distinct sites (fractional):
Cs (0.0000, 0.5000, 0.2500) [4 per cell]
Sr (0.0000, 0.0000, 0.0000) [2 per cell]
Al (0.0000, 0.0000, 0.5000) [2 per cell]
F (0.0000, 0.0000, 0.2814) [4 per cell]
F (0.1950, 0.1950, 0.5000) [8 per cell]

- size of the total moment (μB per cell) = 0.000


Most favorable structure: A. The second most favorable one is 0.109 eV/atom above it.


--- A ---
A plane-wave DFT calculation with GGA-PBE was carried out for a relaxed structure of CsAl3Ga.

Cell lengths 6.0453, 6.0453, 6.0453 Å; angles 90.00, 90.00, 90.00 degrees
Space group Pm-3m (No. 221)
Symmetry-distinct sites (fractional):
Cs (0.0000, 0.0000, 0.0000) [1 per cell]
Al (0.0000, 0.0000, 0.5000) [3 per cell]
Ga (0.5000, 0.5000, 0.5000) [1 per cell]

- size of the total moment (μB per cell) = 0.867


--- B ---
A plane-wave DFT calculation with GGA-PBE was carried out for a relaxed structure of CsAl3Ga.

Cell lengths 5.3012, 5.3012, 5.3012 Å; angles 90.00, 90.00, 90.00 degrees
Space group Pm-3m (No. 221)
Symmetry-distinct sites (fractional):
Cs (0.0000, 0.0000, 0.0000) [1 per cell]
Al (0.0000, 0.5000, 0.5000) [3 per cell]
Ga (0.5000, 0.5000, 0.5000) [1 per cell]

- size of the total moment (μB per cell) = 0.000


Most favorable structure: B. The second most favorable one is 1.180 eV/atom above it.


--- A ---
A plane-wave DFT calculation with GGA-PBE was carried out for a relaxed structure of CsAlGa3.

Cell lengths 5.2837, 5.2837, 5.2837 Å; angles 90.00, 90.00, 90.00 degrees
Space group Pm-3m (No. 221)
Symmetry-distinct sites (fractional):
Cs (0.0000, 0.0000, 0.0000) [1 per cell]
Al (0.5000, 0.5000, 0.5000) [1 per cell]
Ga (0.0000, 0.5000, 0.5000) [3 per cell]

- size of the total moment (μB per cell) = 0.000


--- B ---
A plane-wave DFT calculation with GGA-PBE was carried out for a relaxed structure of CsAlGa3.

Cell lengths 10.8801, 11.6780, 4.6686 Å; angles 90.00, 93.10, 90.00 degrees
Space group P2_1/c (No. 14)
Symmetry-distinct sites (fractional):
Cs (0.1876, 0.0727, 0.1664) [4 per cell]
Al (0.3023, 0.6904, 0.2018) [4 per cell]
Ga (0.0874, 0.7087, 0.9058) [4 per cell]
Ga (0.4433, 0.5136, 0.2504) [4 per cell]
Ga (0.4753, 0.2006, 0.5718) [4 per cell]

- size of the total moment (μB per cell) = 0.000


Most favorable structure: B. The second most favorable one is 0.297 eV/atom above it.


--- A ---
A plane-wave DFT calculation with GGA-PBE was carried out for a relaxed structure of CsAl3Ga3.

Cell lengths 7.3314, 7.3314, 7.3314 Å; angles 90.00, 90.00, 90.00 degrees
Space group Pm-3n (No. 223)
Symmetry-distinct sites (fractional):
Cs (0.0000, 0.0000, 0.0000) [2 per cell]
Al (0.0000, 0.2500, 0.5000) [6 per cell]
Ga (0.0000, 0.5000, 0.2500) [6 per cell]

- size of the total moment (μB per cell) = 0.000


--- B ---
A plane-wave DFT calculation with GGA-PBE was carried out for a relaxed structure of CsAl3Ga3.

Cell lengths 11.0747, 3.1589, 11.0825 Å; angles 90.00, 119.94, 90.00 degrees
Space group P2_1/m (No. 11)
Symmetry-distinct sites (fractional):
Cs (0.1665, 0.2500, 0.3336) [2 per cell]
Al (0.2526, 0.2500, 0.9015) [2 per cell]
Al (0.3521, 0.7500, 0.7531) [2 per cell]
Al (0.4002, 0.7500, 0.1492) [2 per cell]
Ga (0.1094, 0.2500, 0.6170) [2 per cell]
Ga (0.1158, 0.7500, 0.0077) [2 per cell]
Ga (0.4922, 0.7500, 0.6082) [2 per cell]

- size of the total moment (μB per cell) = 0.000


Most favorable structure: A. The second most favorable one is 0.032 eV/atom above it.


--- A ---
A plane-wave DFT calculation with GGA-PBE was carried out for a relaxed structure of CsAlGe3.

Cell lengths 5.7825, 5.7825, 5.7825 Å; angles 90.00, 90.00, 90.00 degrees
Space group Pm-3m (No. 221)
Symmetry-distinct sites (fractional):
Cs (0.0000, 0.0000, 0.0000) [1 per cell]
Al (0.5000, 0.5000, 0.5000) [1 per cell]
Ge (0.0000, 0.0000, 0.5000) [3 per cell]

- size of the total moment (μB per cell) = 0.000


--- B ---
A plane-wave DFT calculation with GGA-PBE was carried out for a relaxed structure of CsAlGe3.

Cell lengths 5.1584, 5.1584, 5.1584 Å; angles 90.00, 90.00, 90.00 degrees
Space group Pm-3m (No. 221)
Symmetry-distinct sites (fractional):
Cs (0.0000, 0.0000, 0.0000) [1 per cell]
Al (0.5000, 0.5000, 0.5000) [1 per cell]
Ge (0.0000, 0.5000, 0.5000) [3 per cell]

- size of the total moment (μB per cell) = 0.000


Most favorable structure: B. The second most favorable one is 1.430 eV/atom above it.


--- A ---
A plane-wave DFT calculation with GGA-PBE was carried out for a relaxed structure of CsAlTlGe2.

Cell lengths 5.0903, 5.0903, 6.3739 Å; angles 90.00, 90.00, 90.00 degrees
Space group P4/mmm (No. 123)
Symmetry-distinct sites (fractional):
Cs (0.0000, 0.0000, 0.0000) [1 per cell]
Al (0.0000, 0.0000, 0.5000) [1 per cell]
Tl (0.5000, 0.5000, 0.0000) [1 per cell]
Ge (0.0000, 0.5000, 0.5000) [2 per cell]

- size of the total moment (μB per cell) = 0.000


--- B ---
A plane-wave DFT calculation with GGA-PBE was carried out for a relaxed structure of CsAlTlGe2.

Cell lengths 5.6020, 5.6020, 5.7360 Å; angles 90.00, 90.00, 90.00 degrees
Space group P4/mmm (No. 123)
Symmetry-distinct sites (fractional):
Cs (0.0000, 0.0000, 0.0000) [1 per cell]
Al (0.5000, 0.5000, 0.0000) [1 per cell]
Tl (0.5000, 0.5000, 0.5000) [1 per cell]
Ge (0.0000, 0.5000, 0.5000) [2 per cell]

- size of the total moment (μB per cell) = 0.000


Most favorable structure: A. The second most favorable one is 0.179 eV/atom above it.


--- A ---
A plane-wave DFT calculation with GGA-PBE was carried out for a relaxed structure of CsAl3H.

Cell lengths 6.6234, 6.6234, 6.6234 Å; angles 90.00, 90.00, 90.00 degrees
Space group Pm-3m (No. 221)
Symmetry-distinct sites (fractional):
Cs (0.0000, 0.0000, 0.0000) [1 per cell]
Al (0.0000, 0.0000, 0.5000) [3 per cell]
H (0.5000, 0.5000, 0.5000) [1 per cell]

- size of the total moment (μB per cell) = 0.670


--- B ---
A plane-wave DFT calculation with GGA-PBE was carried out for a relaxed structure of CsAl3H.

Cell lengths 4.8889, 4.8889, 4.8889 Å; angles 90.00, 90.00, 90.00 degrees
Space group Pm-3m (No. 221)
Symmetry-distinct sites (fractional):
Cs (0.0000, 0.0000, 0.0000) [1 per cell]
Al (0.0000, 0.5000, 0.5000) [3 per cell]
H (0.5000, 0.5000, 0.5000) [1 per cell]

- size of the total moment (μB per cell) = 0.000


Most favorable structure: B. The second most favorable one is 1.199 eV/atom above it.


--- A ---
A plane-wave DFT calculation with GGA-PBE was carried out for a relaxed structure of CsAl2H8.

Cell lengths 11.3960, 4.1957, 6.3489 Å; angles 90.00, 94.52, 90.00 degrees
Space group C2/m (No. 12)
Symmetry-distinct sites (fractional):
Cs (0.0000, 0.0000, 0.0000) [2 per cell]
Al (0.2325, 0.5000, 0.3058) [4 per cell]
H (0.0903, 0.5000, 0.2990) [4 per cell]
H (0.1897, 0.0000, 0.4653) [4 per cell]
H (0.2232, 0.2913, 0.8573) [8 per cell]

- size of the total moment (μB per cell) = 0.000


--- B ---
A plane-wave DFT calculation with GGA-PBE was carried out for a relaxed structure of CsAl2H8.

Cell lengths 4.2122, 4.2122, 6.7816 Å; angles 90.00, 90.00, 90.00 degrees
Space group P4/mmm (No. 123)
Symmetry-distinct sites (fractional):
Cs (0.0000, 0.0000, 0.0000) [1 per cell]
Al (0.0000, 0.5000, 0.5000) [2 per cell]
H (0.2521, 0.2521, 0.3440) [8 per cell]

- size of the total moment (μB per cell) = 0.000


Most favorable structure: A. The second most favorable one is 0.060 eV/atom above it.


--- A ---
A plane-wave DFT calculation with GGA-PBE was carried out for a relaxed structure of CsHfAl3.

Cell lengths 5.5157, 5.5157, 5.5157 Å; angles 90.00, 90.00, 90.00 degrees
Space group Pm-3m (No. 221)
Symmetry-distinct sites (fractional):
Cs (0.0000, 0.0000, 0.0000) [1 per cell]
Hf (0.5000, 0.5000, 0.5000) [1 per cell]
Al (0.0000, 0.5000, 0.5000) [3 per cell]

- size of the total moment (μB per cell) = 1.364


--- B ---
A plane-wave DFT calculation with GGA-PBE was carried out for a relaxed structure of CsHfAl3.

Cell lengths 5.3684, 5.3684, 5.3684 Å; angles 90.00, 90.00, 90.00 degrees
Space group Pm-3m (No. 221)
Symmetry-distinct sites (fractional):
Cs (0.0000, 0.0000, 0.0000) [1 per cell]
Hf (0.5000, 0.5000, 0.5000) [1 per cell]
Al (0.0000, 0.0000, 0.5000) [3 per cell]

- size of the total moment (μB per cell) = 0.000


Most favorable structure: A. The second most favorable one is 1.464 eV/atom above it.


--- A ---
A plane-wave DFT calculation with GGA-PBE was carried out for a relaxed structure of Cs2HfAl.

Cell lengths 14.3349, 14.3349, 5.4057 Å; angles 90.00, 90.00, 90.00 degrees
Space group I-42d (No. 122)
Symmetry-distinct sites (fractional):
Cs (0.0767, 0.7500, 0.1250) [8 per cell]
Hf (0.0000, 0.0000, 0.5000) [4 per cell]
Al (0.0000, 0.0000, 0.0000) [4 per cell]

- size of the total moment (μB per cell) = 5.116


--- B ---
A plane-wave DFT calculation with GGA-PBE was carried out for a relaxed structure of Cs2HfAl.

Cell lengths 8.6222, 8.6222, 8.6222 Å; angles 90.00, 90.00, 90.00 degrees
Space group Fm-3m (No. 225)
Symmetry-distinct sites (fractional):
Cs (0.2500, 0.2500, 0.2500) [8 per cell]
Hf (0.0000, 0.0000, 0.0000) [4 per cell]
Al (0.0000, 0.0000, 0.5000) [4 per cell]

- size of the total moment (μB per cell) = 0.001


Most favorable structure: A. The second most favorable one is 0.376 eV/atom above it.


--- A ---
A plane-wave DFT calculation with GGA-PBE was carried out for a relaxed structure of CsHf3Al.

Cell lengths 5.2073, 5.2073, 5.2073 Å; angles 90.00, 90.00, 90.00 degrees
Space group Pm-3m (No. 221)
Symmetry-distinct sites (fractional):
Cs (0.0000, 0.0000, 0.0000) [1 per cell]
Hf (0.0000, 0.0000, 0.5000) [3 per cell]
Al (0.5000, 0.5000, 0.5000) [1 per cell]

- size of the total moment (μB per cell) = 0.000


--- B ---
A plane-wave DFT calculation with GGA-PBE was carried out for a relaxed structure of CsHf3Al.

Cell lengths 5.2491, 5.2491, 5.2491 Å; angles 90.00, 90.00, 90.00 degrees
Space group Pm-3m (No. 221)
Symmetry-distinct sites (fractional):
Cs (0.0000, 0.0000, 0.0000) [1 per cell]
Hf (0.0000, 0.5000, 0.5000) [3 per cell]
Al (0.5000, 0.5000, 0.5000) [1 per cell]

- size of the total moment (μB per cell) = 0.000


Most favorable structure: B. The second most favorable one is 1.097 eV/atom above it.